No. 1
Compound: Tb6Nd3Cd
Source: Alexandria
Functional: PBE-GGA
Structure: relaxed

Structure (POSCAR):
```
Tb6Nd3Cd
1.0
-0.1940 0.4029 -6.0758
-4.0756 -10.2692 -0.5508
-6.9722 8.5519 0.7898
Tb Nd Cd
12 6 2
Cartesian
-3.2559 3.7325 -1.9947
-4.3303 -8.9945 -3.1659
-7.1811 -2.0533 -0.0897
-4.9145 -4.9080 -0.8042
-6.2708 3.4759 -3.2592
-9.1652 2.8140 -1.8669
-6.9866 7.8358 -5.0193
-3.5928 -1.4956 -0.1673
-8.0381 -4.9389 -5.4714
-3.9754 0.5616 -3.0730
-7.5637 0.0038 -2.9954
-2.1287 -4.0203 -5.5992
-2.3245 2.1360 -5.6200
-5.8573 1.2581 -0.0798
-8.9971 -3.2850 -2.7121
-1.6011 -2.1353 -2.8721
-5.3099 -2.7277 -3.4159
-9.7205 0.9864 -5.4601
-4.8381 -5.8658 -4.1561
-6.3619 4.4644 -0.3680
```

Properties
Symmetry   No. 36
Spin magnetization   0.00 μB/atom
Formation energy from the elements   0.053 eV per atom

---

No. 2
Compound: CsAl2SnF8
Source: Alexandria
Functional: PBE-GGA
Structure: relaxed

Structure (POSCAR):
```
CsAl2SnF8
1.0
-4.1587 -2.2906 2.1719
0.6396 -4.0676 3.2100
-0.5250 4.3275 9.8342
F Cs Al Sn
8 1 2 1
Cartesian
-3.7376 -3.7254 5.9626
-0.3065 1.6947 9.2535
-0.5166 -3.6130 5.6128
-2.3920 -1.4782 4.0522
-0.9048 0.5492 5.1221
-3.1393 -2.5799 10.0940
-1.6521 -0.5526 11.1639
-3.5275 1.5823 9.6033
-2.0221 -1.0154 7.6080
-1.0125 -0.5228 3.7852
-3.0316 -1.5080 11.4309
0.0000 0.0000 0.0000
```

Properties
Symmetry   No. 148
Spin magnetization   0.06 μB/atom
Raw formation energy   -2.929 eV/atom

---

No. 3
Compound: KBPt3
Source: Alexandria
Functional: PBE-GGA
Structure: relaxed

Structure (POSCAR):
```
KBPt3
1.0
-3.2109 2.5222 2.1018
-0.8655 -3.4862 2.8613
8.6453 4.9304 12.3076
Pt B K
6 2 2
Cartesian
4.8880 3.0269 8.8519
0.4456 -1.7715 5.3470
5.8748 1.2507 12.4909
-1.1394 -0.5264 6.3846
6.3021 2.9717 11.0784
-0.3192 0.9395 8.4188
0.1879 2.7202 7.0565
3.2083 4.2504 9.8345
2.8708 0.4811 8.8252
0.0000 0.0000 0.0000
```

Properties
Symmetry   No. 119
Spin magnetization   0.00 μB/atom
Formation energy from the elements   1.174 eV per atom

---

No. 4
Compound: V3HAu
Source: Alexandria
Functional: PBE-GGA
Structure: relaxed

Structure (POSCAR):
```
V3HAu
1.0
-2.6384 -0.7159 -4.1492
3.8806 -2.3134 -2.0685
-1.6337 -4.3388 1.7875
V Au H
3 1 1
Cartesian
1.9403 -1.1567 -1.0342
-0.8169 -2.1694 0.8937
-1.3192 -0.3579 -2.0746
0.0000 0.0000 0.0000
-0.1958 -3.6840 -2.2151
```

Properties
Symmetry   No. 221
Spin magnetization   1.67 μB/atom
Total DFT energy (no corrections)   -24.56 eV/f.u.

---

No. 5
Compound: K2CeGeSe4
Source: Alexandria
Functional: PBE-GGA
Structure: relaxed

Structure (POSCAR):
```
K2CeGeSe4
1.0
8.7171 0.0382 -0.0629
0.0320 8.7171 -0.0629
-4.3380 -4.3410 6.2517
Ce Ge Se K
2 2 8 4
Cartesian
6.5641 2.2262 3.0315
0.0160 4.3586 -0.0314
2.2055 2.2071 3.0630
4.3791 -4.3028 6.1888
0.0292 4.1069 2.8721
4.3820 0.3073 3.2539
4.4263 4.0970 3.2234
6.8159 2.2132 0.1280
2.5229 2.1922 5.9656
-2.4046 2.2010 5.9980
-0.0151 0.3173 2.9026
1.8883 2.2221 0.1604
4.3586 0.0191 -0.0314
2.1896 -2.1514 3.0944
-2.1690 -2.1705 3.1258
4.3746 4.3776 -0.0629
```

Properties
Symmetry   No. 74
Spin magnetization   0.00 μB/atom
Raw formation energy   -1.171 eV/atom

---

No. 6
Compound: Ba2CaTc
Source: Alexandria
Functional: PBE-GGA
Structure: relaxed

Structure (POSCAR):
```
Ba2CaTc
1.0
6.0642 -0.0022 0.0000
1.3160 5.9196 0.0000
-3.6901 -2.9587 3.7952
Ba Tc Ca
2 1 1
Cartesian
0.6580 2.9598 1.8976
0.0000 0.0000 0.0000
3.0321 -0.0011 1.8976
3.6901 2.9587 0.0000
```

Properties
Symmetry   No. 119
Spin magnetization   0.29 μB/atom
Formation energy from the elements   0.780 eV per atom

---

No. 7
Compound: MnTcNi
Source: Alexandria
Functional: PBE-GGA
Structure: relaxed

Structure (POSCAR):
```
MnTcNi
1.0
-4.9690 -3.0261 -0.8161
-4.8276 -2.8388 1.7744
-1.8115 1.8663 -0.0368
Ni Mn Tc
1 1 1
Cartesian
-4.4936 -0.7306 0.2974
-9.7574 -5.8269 0.9533
-7.1537 -3.3061 0.6289
```

Properties
Symmetry   No. 107
Spin magnetization   0.82 μB/atom
Formation energy from the elements   0.091 eV per atom

---

No. 8
Compound: Sm3Dy8Tl
Source: Alexandria
Functional: PBE-GGA
Structure: relaxed

Structure (POSCAR):
```
Sm3Dy8Tl
1.0
7.5107 -0.4592 -3.5513
-4.3843 6.9692 -1.2004
-0.2889 0.4592 8.3029
Sm Dy Tl
3 8 1
Cartesian
-2.3366 3.7142 3.5513
0.3949 5.1121 -0.6002
2.4426 1.8571 4.1514
0.1396 5.4469 3.6711
-2.9627 4.7095 6.4951
5.0083 0.6104 -1.7401
2.5402 1.7730 0.1199
-3.2689 5.1962 1.0850
0.1191 2.7188 1.8111
-1.2465 1.9814 5.7778
-4.0003 6.3587 4.0876
0.0000 0.0000 0.0000
```

Properties
Symmetry   No. 121
Spin magnetization   0.00 μB/atom
Formation energy from the elements   0.518 eV per atom

---

No. 9
Compound: NdTm3Rh
Source: Alexandria
Functional: PBE-GGA
Structure: relaxed

Structure (POSCAR):
```
NdTm3Rh
1.0
7.3545 -0.3118 -0.1276
-2.3121 6.9885 0.1276
-2.9156 -3.0404 5.7854
Tm Rh Nd
6 2 2
Cartesian
2.3693 1.3489 3.9245
-0.2426 2.2874 1.8608
5.0880 -0.7044 1.7332
-1.6056 1.2126 5.0196
3.7323 2.4237 0.7658
-2.9613 4.3406 4.0521
1.9605 3.7618 2.2428
0.1662 -0.1255 3.5425
-0.8589 5.8911 1.4076
2.9857 -2.2548 4.3778
```

Properties
Symmetry   No. 12
Spin magnetization   0.10 μB/atom
Formation energy from the elements   -0.356 eV per atom

---

No. 10
Compound: MgPbBr2
Source: Alexandria
Functional: PBE-GGA
Structure: relaxed

Structure (POSCAR):
```
MgPbBr2
1.0
-0.7630 -1.2788 3.3113
2.7478 -2.3570 -0.2771
5.4120 5.8950 3.5237
Br Mg Pb
2 1 1
Cartesian
2.7438 0.0898 2.6575
5.2109 5.6760 3.3928
2.5575 2.7858 1.6652
5.0025 2.5502 4.1281
```

Properties
Symmetry   No. 99
Spin magnetization   0.00 μB/atom
Raw formation energy   -0.579 eV/atom

---

No. 11
Compound: Sm5Th3Sb8
Source: Alexandria
Functional: PBE-GGA
Structure: relaxed

Structure (POSCAR):
```
Sm5Th3Sb8
1.0
1.4101 -7.2903 5.0445
8.2985 -3.3054 0.8907
4.3032 0.7238 7.8303
Sm Sb Th
5 8 3
Cartesian
4.1492 -1.6527 0.4454
0.0000 0.0000 0.0000
0.7050 -3.6451 2.5223
4.8543 -5.2978 2.9676
7.0058 -4.9359 6.8828
10.5118 -7.3917 10.3409
9.7986 -3.7536 7.8108
5.6600 -2.1052 7.3666
4.2131 -6.1182 5.9548
7.6484 -4.1309 3.8832
6.3632 -5.7410 9.8824
3.4999 -2.4801 3.4247
8.3517 -7.7667 6.3990
6.3008 -1.2908 4.3605
2.8566 -3.2832 6.4374
2.1516 0.3619 3.9152
```

Properties
Symmetry   No. 166
Spin magnetization   0.00 μB/atom
Raw formation energy   -1.091 eV/atom

---

No. 12
Compound: NdUSO2
Source: Alexandria
Functional: PBE-GGA
Structure: relaxed

Structure (POSCAR):
```
NdUSO2
1.0
3.8355 0.0000 0.0000
0.0000 3.8355 0.0000
-1.9177 -1.9177 6.0951
Nd O S U
1 2 1 1
Cartesian
0.0000 0.0000 1.7228
1.9177 0.0000 3.0819
0.0000 1.9177 3.0819
0.0000 0.0000 6.0749
1.9177 1.9177 4.3239
```

Properties
Symmetry   No. 107
Spin magnetization   0.60 μB/atom
Raw formation energy   -2.597 eV/atom